Entry 1:
The following is a DFT calculation (PBE) of crystalline MgIrNO at its relaxed geometry.

The space group is Pca2_1 (No. 29) and the conventional cell measures 5.790, 7.218 and 4.532 Å, with angles of 90.00, 90.00 and 90.00 degrees. The distinct sites, in fractional coordinates, are Mg at (0.080, 0.137, 0.000), Ir at (0.144, 0.669, 0.996), N at (0.062, 0.134, 0.505) and O at (0.027, 0.413, 0.068).

The energy above the lowest structure with this stoichiometry is 542 meV per atom. The value obtained for the volume is 11.84 Å³/atom.

---

Entry 2:
The following is a DFT calculation (PBE) of crystalline Pu2Zn15Ga2 at its relaxed geometry.

The space group is R-3m (No. 166, hexagonal axes) and the conventional cell measures 9.0107, 9.0107 and 13.0308 Å, with angles of 90.00, 90.00 and 120.00 degrees. The distinct sites, in fractional coordinates, are Pu at (0.0000, 0.0000, 0.1661), Zn at (0.0000, 0.3074, 0.5000), Zn at (0.0000, 0.5000, 0.0000), Zn at (0.0136, 0.5068, 0.6540) and Ga at (0.0000, 0.0000, 0.3990).

The value obtained for the volume is 16.07 Å³/atom.

---

Entry 3:
The following is a DFT calculation (PBE) of crystalline DyHoB2Ir2C2 at its relaxed geometry.

The space group is P4mm (No. 99) and the conventional cell measures 3.729, 3.729 and 7.771 Å, with angles of 90.00, 90.00 and 90.00 degrees. The distinct sites, in fractional coordinates, are Dy at (0.000, 0.000, 0.000), Ho at (0.500, 0.500, 0.322), B at (0.000, 0.000, 0.501), B at (0.500, 0.500, 0.821), Ir at (0.000, 0.500, 0.661), C at (0.000, 0.000, 0.307) and C at (0.500, 0.500, 0.016).

The value obtained for the volume is 13.51 Å³/atom.

---

Entry 4:
The following is a DFT calculation (PBE) of crystalline CuReHg2 at its relaxed geometry.

The space group is F-43m (No. 216) and the conventional cell measures 6.564, 6.564 and 6.564 Å, with angles of 90.00, 90.00 and 90.00 degrees. The distinct sites, in fractional coordinates, are Cu at (0.000, 0.000, 0.000), Re at (0.250, 0.250, 0.750), Hg at (0.000, 0.000, 0.500) and Hg at (0.250, 0.250, 0.250).

The energy of formation comes out at 1.002 eV/atom. The value obtained for the volume is 17.68 Å³/atom.

---

Entry 5:
The following is a DFT calculation (PBE) of crystalline KCuSe at its relaxed geometry.

The space group is P6_3/mmc (No. 194) and the conventional cell measures 4.1823, 4.1823 and 9.8656 Å, with angles of 90.00, 90.00 and 120.00 degrees. The distinct sites, in fractional coordinates, are K at (0.0000, 0.0000, 0.0000), Cu at (0.3333, 0.6667, 0.2500) and Se at (0.3333, 0.6667, 0.7500).

The value obtained for the volume is 24.91 Å³/atom.

---

Entry 6:
The following is a DFT calculation (PBE) of crystalline AcDyO3 at its relaxed geometry.

The space group is Pnma (No. 62) and the conventional cell measures 6.176, 8.595 and 5.989 Å, with angles of 90.00, 90.00 and 90.00 degrees. The distinct sites, in fractional coordinates, are Ac at (0.048, 0.250, 0.014), Dy at (0.000, 0.000, 0.500), O at (0.051, 0.750, 0.384) and O at (0.197, 0.562, 0.804).

The value obtained for the volume is 15.89 Å³/atom.

---

Entry 7:
The following is a DFT calculation (PBE) of crystalline SrAcHg4 at its relaxed geometry.

The space group is C2 (No. 5) and the conventional cell measures 9.362, 8.739 and 5.099 Å, with angles of 90.00, 122.82 and 90.00 degrees. The distinct sites, in fractional coordinates, are Sr at (0.000, 0.000, 0.000), Ac at (0.000, 0.486, 0.500), Hg at (0.231, 0.662, 0.231) and Hg at (0.250, 0.327, 0.249).

The value obtained for the volume is 29.21 Å³/atom.

---

Entry 8:
The following is a DFT calculation (PBE) of crystalline Er2Se3 at its relaxed geometry.

The space group is P-3m1 (No. 164) and the conventional cell measures 4.0880, 4.0880 and 9.7562 Å, with angles of 90.00, 90.00 and 120.00 degrees. The distinct sites, in fractional coordinates, are Er at (0.3333, 0.6667, 0.3092), Se at (0.0000, 0.0000, 0.5000) and Se at (0.3333, 0.6667, 0.8307).

The value obtained for the volume is 28.24 Å³/atom.

---

Entry 9:
The following is a DFT calculation (PBE) of crystalline YTlCuOs at its relaxed geometry.

The space group is F-43m (No. 216) and the conventional cell measures 6.768, 6.768 and 6.768 Å, with angles of 90.00, 90.00 and 90.00 degrees. The distinct sites, in fractional coordinates, are Y at (0.000, 0.000, 0.000), Tl at (0.250, 0.250, 0.250), Cu at (0.000, 0.000, 0.500) and Os at (0.250, 0.250, 0.750).

The energy above the lowest structure with this stoichiometry is 187 meV per atom. The value obtained for the volume is 19.37 Å³/atom.

---

Entry 10:
The following is a DFT calculation (PBE) of crystalline TbScIr at its relaxed geometry.

The space group is F-43m (No. 216) and the conventional cell measures 6.436, 6.436 and 6.436 Å, with angles of 90.00, 90.00 and 90.00 degrees. The distinct sites, in fractional coordinates, are Tb at (0.000, 0.000, 0.000), Sc at (0.250, 0.250, 0.750) and Ir at (0.000, 0.000, 0.500).

The energy of formation comes out at 0.004 eV/atom. The value obtained for the volume is 22.22 Å³/atom.

---

Entry 11:
The following is a DFT calculation (PBE) of crystalline Mo2SeS3 at its relaxed geometry.

The space group is Cm (No. 8) and the conventional cell measures 22.110, 3.217 and 5.566 Å, with angles of 90.00, 90.00 and 90.00 degrees. The distinct sites, in fractional coordinates, are Mo at (0.000, 0.000, 0.000), Mo at (0.000, 0.500, 0.495), Se at (0.078, 0.500, 0.831), S at (0.070, 0.000, 0.331), S at (0.429, 0.500, 0.331) and S at (0.431, 0.000, 0.831).

The energy above the lowest structure with this stoichiometry is 0 meV per atom. The value obtained for the volume is 32.99 Å³/atom.

---

Entry 12:
The following is a DFT calculation (PBE) of crystalline LiBeInCo at its relaxed geometry.

The space group is F-43m (No. 216) and the conventional cell measures 5.909, 5.909 and 5.909 Å, with angles of 90.00, 90.00 and 90.00 degrees. The distinct sites, in fractional coordinates, are Li at (0.000, 0.000, 0.000), Be at (0.250, 0.250, 0.250), In at (0.250, 0.250, 0.750) and Co at (0.000, 0.000, 0.500).

The energy above the lowest structure with this stoichiometry is 0 meV per atom. The value obtained for the volume is 12.89 Å³/atom.

---

Entry 13:
The following is a DFT calculation (PBE) of crystalline MgReIr at its relaxed geometry.

The space group is F-43m (No. 216) and the conventional cell measures 5.965, 5.965 and 5.965 Å, with angles of 90.00, 90.00 and 90.00 degrees. The distinct sites, in fractional coordinates, are Mg at (0.000, 0.000, 0.000), Re at (0.250, 0.250, 0.750) and Ir at (0.000, 0.000, 0.500).

The value obtained for the volume is 17.69 Å³/atom.

---

Entry 14:
The following is a DFT calculation (PBE) of crystalline RbNdPu at its relaxed geometry.

The space group is F-43m (No. 216) and the conventional cell measures 8.563, 8.563 and 8.563 Å, with angles of 90.00, 90.00 and 90.00 degrees. The distinct sites, in fractional coordinates, are Rb at (0.000, 0.000, 0.000), Nd at (0.000, 0.000, 0.500) and Pu at (0.250, 0.250, 0.250).

The energy above the lowest structure with this stoichiometry is 0 meV per atom. The value obtained for the volume is 52.32 Å³/atom.

---

Entry 15:
The following is a DFT calculation (PBE) of crystalline PmNbAg at its relaxed geometry.

The space group is F-43m (No. 216) and the conventional cell measures 6.715, 6.715 and 6.715 Å, with angles of 90.00, 90.00 and 90.00 degrees. The distinct sites, in fractional coordinates, are Pm at (0.000, 0.000, 0.000), Nb at (0.250, 0.250, 0.750) and Ag at (0.000, 0.000, 0.500).

The energy of formation comes out at 0.955 eV/atom. The energy above the lowest structure with this stoichiometry is 0 meV per atom. The value obtained for the volume is 25.24 Å³/atom.

---

Entry 16:
The following is a DFT calculation (PBE) of crystalline K3Nb2Cu3S8 at its relaxed geometry.

The space group is C2/c (No. 15) and the conventional cell measures 23.623, 5.565 and 14.376 Å, with angles of 90.00, 120.74 and 90.00 degrees. The distinct sites, in fractional coordinates, are K at (0.000, 0.000, 0.000), K at (0.191, 0.462, 0.094), Nb at (0.127, 0.282, 0.780), Cu at (0.000, 0.279, 0.750), Cu at (0.123, 0.218, 0.281), S at (0.038, 0.481, 0.160), S at (0.091, 0.047, 0.874), S at (0.157, 0.029, 0.686) and S at (0.211, 0.468, 0.392).

The value obtained for the volume is 25.38 Å³/atom.

---

Entry 17:
The following is a DFT calculation (PBE) of crystalline GaNi5Bi at its relaxed geometry.

The space group is P4/mmm (No. 123) and the conventional cell measures 3.667, 3.667 and 7.230 Å, with angles of 90.00, 90.00 and 90.00 degrees. The distinct sites, in fractional coordinates, are Ga at (0.000, 0.000, 0.000), Ni at (0.000, 0.500, 0.232), Ni at (0.500, 0.500, 0.000) and Bi at (0.500, 0.500, 0.500).

The value obtained for the volume is 13.88 Å³/atom.

---

Entry 18:
The following is a DFT calculation (PBE) of crystalline PrGeAsIr2 at its relaxed geometry.

The space group is P4/nmm (No. 129, origin choice 2) and the conventional cell measures 4.337, 4.337 and 9.983 Å, with angles of 90.00, 90.00 and 90.00 degrees. The distinct sites, in fractional coordinates, are Pr at (0.250, 0.250, 0.246), Ge at (0.250, 0.250, 0.632), As at (0.250, 0.750, 0.000), Ir at (0.250, 0.250, 0.879) and Ir at (0.250, 0.750, 0.500).

The energy above the lowest structure with this stoichiometry is 0 meV per atom. The value obtained for the volume is 18.78 Å³/atom.

---

Entry 19:
The following is a DFT calculation (PBE) of crystalline CuAg3 at its relaxed geometry.

The space group is C2/m (No. 12) and the conventional cell measures 18.653, 2.856 and 4.961 Å, with angles of 90.00, 94.26 and 90.00 degrees. The distinct sites, in fractional coordinates, are Cu at (0.123, 0.000, 0.374), Ag at (0.000, 0.000, 0.000), Ag at (0.000, 0.500, 0.500), Ag at (0.126, 0.500, 0.867) and Ag at (0.245, 0.500, 0.255).

The energy of formation comes out at 0.075 eV/atom. The value obtained for the volume is 16.47 Å³/atom.

---

Entry 20:
The following is a DFT calculation (PBE) of crystalline TbY2Al3Ge2Au at its relaxed geometry.

The space group is Amm2 (No. 38) and the conventional cell measures 4.276, 12.254 and 7.072 Å, with angles of 90.00, 90.00 and 90.00 degrees. The distinct sites, in fractional coordinates, are Tb at (0.000, 0.000, 0.000), Y at (0.000, 0.207, 0.378), Al at (0.500, 0.000, 0.348), Al at (0.500, 0.119, 0.704), Ge at (0.500, 0.167, 0.086) and Au at (0.000, 0.000, 0.585).

The value obtained for the volume is 20.58 Å³/atom.

---

no.,E (eV per atom)
1,-6.2409
2,-2.7411
3,-7.8305
4,-3.1815
5,-3.4614
6,-8.1679
7,-1.6467
8,-5.7251
9,-5.5033
10,-6.6004
11,-7.0784
12,-3.8010
13,-7.1755
14,-5.3884
15,-4.9329
16,-5.1825
17,-5.0906
18,-7.1302
19,-2.9726
20,-5.3178